(1)
MnSbI2 (PBEsol, optimized geometry); offset from the most stable computed form = 0 meV/atom; SG = I-42d, No. 122; calculated total energy = -4.268 eV/atom; uncorrected formation energy = 195 meV/atom
1.0
6.951 1.772 2.561
-1.771 6.952 -2.561
-1.771 -4.849 5.602
I Sb Mn
4 2 2
Direct
0.662 0.375 0.537
0.162 0.287 0.625
0.338 0.875 0.713
0.838 0.463 0.125
0.500 0.750 0.250
0.000 0.000 0.000
0.500 0.250 0.750
0.000 0.500 0.500

***

(2)
MnSbI2 (PBEsol, optimized geometry); offset from the most stable computed form = 350 meV/atom; SG = Fm-3m, No. 225; calculated total energy = -3.919 eV/atom; uncorrected formation energy = 544 meV/atom
1.0
5.288 0.000 0.000
2.644 4.580 0.000
2.644 1.527 4.318
I Mn Sb
2 1 1
Direct
0.750 0.750 0.750
0.250 0.250 0.250
0.000 0.000 0.000
0.500 0.500 0.500

***

(3)
YMnSb2I (PBEsol, optimized geometry); SG = P4/mmm, No. 123; calculated total energy = -5.444 eV/atom; uncorrected formation energy = 49 meV/atom
1.0
-2.988 -4.054 -0.071
0.089 0.022 -5.036
4.343 -3.202 0.063
Sb Mn I Y
2 1 1 1
Direct
0.500 0.000 0.000
0.000 0.500 0.000
0.000 0.000 0.000
0.000 0.000 0.500
0.500 0.500 0.500

***

(4)
MnZnSbI2 (PBEsol, optimized geometry); SG = P4/mmm, No. 123; calculated total energy = -3.208 eV/atom; uncorrected formation energy = 679 meV/atom
1.0
-0.401 0.312 5.286
-2.688 -4.651 0.071
4.634 -2.670 0.509
I Zn Mn Sb
2 1 1 1
Direct
0.000 0.500 0.000
0.000 0.000 0.500
0.000 0.000 0.000
0.500 0.500 0.500
0.500 0.000 0.000

***

(5)
MnZnSb2I (PBEsol, optimized geometry); SG = P4/mmm, No. 123; calculated total energy = -3.954 eV/atom; uncorrected formation energy = 491 meV/atom
1.0
-2.465 0.241 4.209
0.145 -4.868 0.364
4.868 0.357 2.831
Sb Mn I Zn
2 1 1 1
Direct
0.500 0.000 0.000
0.000 0.500 0.000
0.000 0.000 0.000
0.000 0.000 0.500
0.500 0.500 0.500

***

(6)
MnSe2I (PBEsol, optimized geometry); offset from the most stable computed form = 696 meV/atom; SG = R-3m, No. 166; calculated total energy = -4.369 eV/atom; uncorrected formation energy = 438 meV/atom
1.0
-0.785 -2.103 2.114
-0.169 -2.979 -0.778
11.270 -3.108 3.341
Se I Mn
2 1 1
Direct
0.935 0.935 0.194
0.065 0.065 0.806
0.500 0.500 0.500
0.000 0.000 0.000

***

(7)
MnSe2I (PBEsol, optimized geometry); offset from the most stable computed form = 0 meV/atom; SG = C2/m, No. 12; calculated total energy = -5.066 eV/atom; uncorrected formation energy = -259 meV/atom
1.0
-1.922 -2.125 1.660
0.289 -0.309 -3.364
8.085 -5.167 2.748
Se Mn I
2 1 1
Direct
0.785 0.570 0.351
0.215 0.430 0.649
0.500 0.000 0.500
0.000 0.000 0.000

***

(8)
MnSi2I (PBEsol, optimized geometry); SG = I4_1/amd, No. 141; calculated total energy = -5.091 eV/atom; uncorrected formation energy = 664 meV/atom
1.0
-3.752 -2.929 0.141
2.847 -3.694 -0.962
1.628 2.182 8.224
Mn Si I
2 4 2
Direct
0.500 0.500 0.000
0.750 0.250 0.500
0.625 0.375 0.750
0.625 0.875 0.250
0.625 0.375 0.250
0.125 0.375 0.750
0.000 0.000 0.000
0.250 0.750 0.500